No. 1
Compound: TlSn2HgRu
Source: Alexandria via LeMat-Bulk
Functional: PBE-GGA
Structure: relaxed

Calculated values
As for the space-group type: P4/mmm. For the formation energy, the calculation gives 0.082 eV/atom. Its total DFT energy (no corrections) is -3.9081 eV per atom.

Lattice parameters (Å, degrees): 5.1361 5.1361 5.3465 90.00 90.00 90.00
Fractional positions:
Ru: 0.0000 0.0000 0.0000
Tl: 0.0000 0.0000 0.5000
Hg: 0.5000 0.5000 0.5000
Sn: 0.0000 0.5000 0.0000
Sn: 0.5000 0.0000 0.0000

No. 2
Compound: SnHg2RuW
Source: Alexandria via LeMat-Bulk
Functional: PBE-GGA
Structure: relaxed

Calculated values
As for the space-group type: P4/mmm. For the formation energy, the calculation gives 2.023 eV/atom. Its total DFT energy (no corrections) is -3.3441 eV per atom.

Lattice parameters (Å, degrees): 5.1871 5.0562 5.1871 90.00 90.00 90.00
Site moments in Bohr magnetons follow the coordinates.
Fractional positions:
Ru: 0.0000 0.5000 0.0000  -1.39
Hg: 0.0000 0.0000 0.5000  -0.01
Hg: 0.5000 0.0000 0.0000  0.04
W: 0.5000 0.5000 0.5000  3.14
Sn: 0.0000 0.0000 0.0000  0.03

No. 3
Compound: SrHg2Ru
Source: Alexandria via LeMat-Bulk
Functional: PBE-GGA
Structure: relaxed

Calculated values
As for the space-group type: F-43m. For the formation energy, the calculation gives 0.362 eV/atom. The value obtained for the energy above the lowest structure with this stoichiometry is 241 meV per atom. Its total DFT energy (no corrections) is -2.5286 eV per atom.

Lattice parameters (Å, degrees): 5.0611 5.0611 5.0611 60.00 60.00 60.00
Fractional positions:
Hg: 0.0000 0.0000 0.0000
Hg: 0.2500 0.2500 0.2500
Ru: 0.5000 0.5000 0.5000
Sr: 0.7500 0.7500 0.7500

No. 4
Compound: SrHg2Ru
Source: Alexandria via LeMat-Bulk
Functional: PBE-GGA
Structure: relaxed

Calculated values
As for the space-group type: C2/m. For the formation energy, the calculation gives 0.125 eV/atom. The value obtained for the energy above the lowest structure with this stoichiometry is 4 meV per atom. Its total DFT energy (no corrections) is -2.7658 eV per atom.

Lattice parameters (Å, degrees): 4.6697 4.6697 6.0825 67.34 67.34 60.06
Fractional positions:
Hg: 0.0373 0.0373 0.8879
Hg: 0.4627 0.4627 0.6121
Ru: 0.7500 0.7500 0.7500
Sr: 0.2500 0.2500 0.2500

No. 5
Compound: SrHg2Ru
Source: Alexandria via LeMat-Bulk
Functional: PBE-GGA
Structure: relaxed

Calculated values
As for the space-group type: P4/mmm. For the formation energy, the calculation gives 0.255 eV/atom. The value obtained for the energy above the lowest structure with this stoichiometry is 135 meV per atom. Its total DFT energy (no corrections) is -2.6349 eV per atom.

Lattice parameters (Å, degrees): 4.5299 4.5299 4.3900 90.00 90.00 90.00
Site moments in Bohr magnetons follow the coordinates.
Fractional positions:
Hg: 0.0000 0.0000 0.0000  0.00
Hg: 0.5000 0.5000 0.0000  0.00
Ru: 0.5000 0.0000 0.5000  0.22
Sr: 0.0000 0.5000 0.5000  -0.01

No. 6
Compound: Sr4HgRu2
Source: Alexandria via LeMat-Bulk
Functional: PBE-GGA
Structure: relaxed

Calculated values
As for the space-group type: I4/mmm. For the formation energy, the calculation gives 0.468 eV/atom. Its total DFT energy (no corrections) is -3.1868 eV per atom.

Lattice parameters (Å, degrees): 6.0472 6.0472 8.2024 68.37 68.37 90.00
Fractional positions:
Ru: 0.5835 0.5835 0.8329
Ru: 0.4165 0.4165 0.1671
Hg: 0.0000 0.0000 0.0000
Sr: 0.7716 0.7716 0.4567
Sr: 0.2284 0.2284 0.5433
Sr: 0.0000 0.5000 0.0000
Sr: 0.5000 0.0000 0.0000

No. 7
Compound: SrHg2Ru
Source: Alexandria via LeMat-Bulk
Functional: PBE-GGA
Structure: relaxed

Calculated values
As for the space-group type: I-4m2. For the formation energy, the calculation gives 0.276 eV/atom. The value obtained for the energy above the lowest structure with this stoichiometry is 155 meV per atom. Its total DFT energy (no corrections) is -2.6142 eV per atom.

Lattice parameters (Å, degrees): 5.5999 5.5999 5.5999 133.40 133.40 68.02
Site moments in Bohr magnetons follow the coordinates.
Fractional positions:
Hg: 0.0000 0.0000 0.0000  -0.01
Hg: 0.2500 0.7500 0.5000  -0.01
Ru: 0.5000 0.5000 0.0000  0.54
Sr: 0.7500 0.2500 0.5000  0.00

No. 8
Compound: Sr2HgRu2
Source: Alexandria via LeMat-Bulk
Functional: PBE-GGA
Structure: relaxed

Calculated values
As for the space-group type: P4/mbm. For the formation energy, the calculation gives 0.183 eV/atom. Its total DFT energy (no corrections) is -4.2603 eV per atom.

Lattice parameters (Å, degrees): 7.1246 7.1246 4.8395 90.00 90.00 90.00
Site moments in Bohr magnetons follow the coordinates.
Fractional positions:
Ru: 0.3837 0.8837 0.0000  0.40
Ru: 0.8837 0.6163 0.0000  0.40
Ru: 0.6163 0.1163 0.0000  0.40
Ru: 0.1163 0.3837 0.0000  0.40
Hg: 0.0000 0.0000 0.0000  -0.01
Hg: 0.5000 0.5000 0.0000  -0.01
Sr: 0.1785 0.6785 0.5000  0.00
Sr: 0.6785 0.8215 0.5000  0.00
Sr: 0.8215 0.3215 0.5000  0.00
Sr: 0.3215 0.1785 0.5000  0.00

Which of these has the lowest total DFT energy (no corrections)? Sr2HgRu2